Record 1
Material: MnTcS4
Method: DFT, PBE
State: optimized geometry

Magnetization in Bohr magnetons per cell: 4.0
Raw formation energy in eV/atom: -0.385

Cell: 5.6639 5.6780 5.6829 Å, 90.00 90.80 90.00°
With the nearest neighbours (Å) after each atom.
Sites, in units of the cell vectors:
1 Mn 0.0000 0.0000 0.0000  6 S 2.35-2.37
2 Mn 0.0000 0.5000 0.5000  6 S 2.35-2.37
3 Tc 0.5000 0.0000 0.5000  6 S 2.36-2.37
4 Tc 0.5000 0.5000 0.0000  6 S 2.36-2.37
5 S 0.1184 0.1233 0.3795  2 Mn 2.35-2.36, 1 Tc 2.36, 1 S 2.38
6 S 0.1184 0.3767 0.8795  2 Mn 2.35-2.36, 1 Tc 2.36, 1 S 2.38
7 S 0.3817 0.6172 0.3802  1 S 2.32, 2 Tc 2.37, 1 Mn 2.37
8 S 0.3817 0.8828 0.8802  1 S 2.32, 2 Tc 2.37, 1 Mn 2.37
9 S 0.6183 0.1172 0.1198  1 S 2.32, 2 Tc 2.37, 1 Mn 2.37
10 S 0.6183 0.3828 0.6198  1 S 2.32, 2 Tc 2.37, 1 Mn 2.37
11 S 0.8816 0.6233 0.1205  2 Mn 2.35-2.36, 1 Tc 2.36, 1 S 2.38
12 S 0.8816 0.8767 0.6205  2 Mn 2.35-2.36, 1 Tc 2.36, 1 S 2.38

---

Record 2
Material: MnCoSe2
Method: DFT, PBE
State: optimized geometry

Magnetization in Bohr magnetons per cell: 2.8
E above lowest polymorph in meV per atom: 199.4
Raw formation energy in eV/atom: -0.154

Cell: 7.1357 7.1357 7.1357 Å, 30.07 30.07 30.07°
With the nearest neighbours (Å) after each atom.
Sites, in units of the cell vectors:
1 Mn 0.0000 0.0000 0.0000  3 Se 2.49, 3 Co 2.61
2 Co 0.2597 0.2597 0.2597  3 Se 2.23
3 Se 0.5612 0.5612 0.5612  3 Co 2.23
4 Se 0.7291 0.7291 0.7291  3 Mn 2.49

---

Record 3
Material: Sc2RhSe
Method: DFT, PBE
State: optimized geometry

Magnetization in Bohr magnetons per cell: 0.0
E above lowest polymorph in meV per atom: 16.5
Raw formation energy in eV/atom: -1.101

Cell: 3.7108 3.7108 7.0558 Å, 105.07 105.07 59.77°
With the nearest neighbours (Å) after each atom.
Sites, in units of the cell vectors:
1 Sc 0.2453 0.2453 0.2344  3 Rh 2.65-2.66, 3 Se 2.79
2 Sc 0.7547 0.7547 0.7656  3 Rh 2.65-2.66, 3 Se 2.79
3 Rh 0.5000 0.5000 0.0000  6 Sc 2.65-2.66
4 Se 0.0000 0.0000 0.5000  6 Sc 2.79

---

Record 4
Material: LiIn3Se4
Method: DFT, PBE
State: optimized geometry

Magnetization in Bohr magnetons per cell: 0.0
Raw formation energy in eV/atom: -0.570

Cell: 8.0942 8.0942 8.0942 Å, 136.06 136.06 63.89°
With the nearest neighbours (Å) after each atom.
Sites, in units of the cell vectors:
1 Li 0.0000 0.0000 0.0000  4 Se 2.68
2 In 0.2500 0.7500 0.5000  4 Se 2.66
3 In 0.5000 0.5000 0.0000  4 Se 3.00
4 In 0.7500 0.2500 0.5000  4 Se 2.66
5 Se 0.0902 0.0902 0.4515  2 In 2.66, 1 Li 2.68
6 Se 0.3613 0.9098 0.0000  2 In 2.66, 1 Li 2.68
7 Se 0.6387 0.6387 0.5485  2 In 2.66, 1 Li 2.68
8 Se 0.9098 0.3613 0.0000  2 In 2.66, 1 Li 2.68

---

Record 5
Material: YSbPdI2
Method: DFT, PBE
State: optimized geometry

Magnetization in Bohr magnetons per cell: 0.0
E above lowest polymorph in meV per atom: 0.0
Raw formation energy in eV/atom: -0.101

Cell: 5.3119 5.3119 5.5432 Å, 90.00 90.00 90.00°
With the nearest neighbours (Å) after each atom.
Sites, in units of the cell vectors:
1 Y 0.0000 0.0000 0.0000  4 Sb 3.76, 8 I 3.84
2 Sb 0.5000 0.5000 0.0000  2 Pd 2.77
3 Pd 0.5000 0.5000 0.5000  4 I 2.66, 2 Sb 2.77
4 I 0.0000 0.5000 0.5000  2 Pd 2.66
5 I 0.5000 0.0000 0.5000  2 Pd 2.66

---

Record 6
Material: Ac2TlAgPt
Method: DFT, PBE
State: optimized geometry

Magnetization in Bohr magnetons per cell: 0.0
Energy in eV per atom: -4.49

Cell: 8.5162 4.3931 8.6132 Å, 90.00 111.74 90.00°
With the nearest neighbours (Å) after each atom.
Sites, in units of the cell vectors:
1 Ac 0.1246 0.2500 0.3516  2 Pt 3.06
2 Ac 0.2913 0.2500 0.9893  3 Pt 3.05-3.18
3 Ac 0.7087 0.7500 0.0107  3 Pt 3.05-3.18
4 Ac 0.8754 0.7500 0.6484  2 Pt 3.06
5 Tl 0.3178 0.7500 0.6793  3 Ag 3.08-3.33
6 Tl 0.6822 0.2500 0.3207  3 Ag 3.08-3.33
7 Ag 0.4441 0.7500 0.3572  1 Pt 2.92, 2 Tl 3.08, 2 Ag 3.17
8 Ag 0.5559 0.2500 0.6428  1 Pt 2.92, 2 Tl 3.08, 2 Ag 3.17
9 Pt 0.1057 0.7500 0.0977  1 Ag 2.92, 2 Pt 2.94, 5 Ac 3.05-3.18
10 Pt 0.8943 0.2500 0.9023  1 Ag 2.92, 2 Pt 2.94, 5 Ac 3.05-3.18

---

> magnetization of number 6 (Ac2TlAgPt)?

0.0 Bohr magnetons per cell

---

> Which value of magnetization does entry 6 give?

0.0 Bohr magnetons per cell